Material: HfMn3Se
Method: DFT, GGA-PBE
State: relaxed

a b c (Å): 4.470 4.470 4.470
angles (deg): 90.00 90.00 90.00
Site moments in Bohr magnetons follow the coordinates.
Fractional positions:
Mn1 0.000 0.500 0.000  2.95
Mn2 0.000 0.000 0.500  2.77
Mn3 0.500 0.000 0.000  2.91
Hf1 0.500 0.500 0.500  -0.80
Se1 0.000 0.000 0.000  -0.07

Properties
* formation energy from raw total energies: 2.140 eV per formula unit
* energy relative to the lowest polymorph listed for this composition: 0.000 eV per atom



Material: YCr2Se
Method: DFT, GGA-PBE
State: relaxed

a b c (Å): 4.669 3.604 4.604
angles (deg): 89.91 90.00 90.00
Fractional positions:
Cr1 0.000 0.249 0.952
Cr2 0.000 0.251 0.548
Se1 0.500 0.250 0.250
Y1 0.500 0.750 0.750

Properties
* formation energy from raw total energies: 0.234 eV per formula unit



Material: WAuSe
Method: DFT, GGA-PBE
State: relaxed

a b c (Å): 4.403 4.403 4.403
angles (deg): 60.00 60.00 60.00
Site moments in Bohr magnetons follow the coordinates.
Fractional positions:
Au1 0.000 0.000 0.000  0.04
Se1 0.500 0.500 0.500  -0.02
W1 0.750 0.750 0.750  0.68

Properties
* formation energy from raw total energies: 1.839 eV per formula unit
* energy relative to the lowest polymorph listed for this composition: 0.537 eV per atom



Material: Pm2ThRe
Method: DFT, GGA-PBE
State: relaxed

a b c (Å): 3.306 3.306 11.682
angles (deg): 81.87 81.87 60.00
Fractional positions:
Re1 0.000 0.000 0.000
Th1 0.500 0.500 0.500
Pm1 0.078 0.078 0.766
Pm2 0.922 0.922 0.234

Properties
* E_form: 0.8714 eV per atom



Material: La4Rh2O
Method: DFT, GGA-PBE
State: relaxed

a b c (Å): 4.932 4.932 8.096
angles (deg): 72.27 72.27 90.00
Fractional positions:
Rh1 0.369 0.369 0.263
Rh2 0.631 0.631 0.737
O1 0.000 0.000 0.000
La1 0.193 0.193 0.615
La2 0.807 0.807 0.385
La3 0.000 0.500 0.000
La4 0.500 0.000 0.000

Properties
* formation energy from raw total energies: -8.392 eV per formula unit



Material: U2BOs3
Method: DFT, GGA-PBE
State: relaxed

a b c (Å): 4.835 4.835 4.835
angles (deg): 69.11 69.11 69.11
Site moments in Bohr magnetons follow the coordinates.
Fractional positions:
U1 0.379 0.379 0.379  0.52
U2 0.621 0.621 0.621  0.52
B1 0.000 0.000 0.000  0.00
Os1 0.000 0.000 0.500  -0.07
Os2 0.500 0.000 0.000  -0.07
Os3 0.000 0.500 0.000  -0.07

Properties
* E_form: -0.1383 eV per atom



Material: Li2CeAs2
Method: DFT, GGA-PBE
State: relaxed

a b c (Å): 4.244 4.244 6.946
angles (deg): 72.21 72.21 60.00
Site moments in Bohr magnetons follow the coordinates.
Fractional positions:
Li1 0.200 0.700 0.399  0.00
Li2 0.800 0.300 0.601  0.00
Ce1 0.000 0.500 0.000  0.19
As1 0.584 0.084 0.249  -0.01
As2 0.416 0.916 0.751  -0.01

Properties
* E_form: -0.9233 eV per atom
* energy relative to the lowest polymorph listed for this composition: 0.064 eV per atom



Material: SmY2Ag3S6
Method: DFT, GGA-PBE
State: relaxed

a b c (Å): 4.084 9.589 8.035
angles (deg): 105.16 104.72 90.00
Fractional positions:
Sm1 0.500 0.000 0.000
Y1 0.834 0.664 0.668
Y2 0.166 0.336 0.332
Ag1 0.500 0.500 0.000
Ag2 0.826 0.059 0.653
Ag3 0.174 0.941 0.347
S1 0.315 0.855 0.629
S2 0.657 0.520 0.314
S3 0.685 0.145 0.371
S4 0.989 0.196 0.978
S5 0.011 0.804 0.022
S6 0.343 0.480 0.686

Properties
* formation energy from raw total energies: -15.582 eV per formula unit